1.
Material: Cs2KTlIn
Method: DFT, PBE
State: relaxed

Results
E_form: 2.1 kcal/mol of atoms
DOS(E_F): 5.05 states/eV per cell

```
Cs2KTlIn
1.0
7.7103 0.0000 0.0000
0.0000 7.7103 0.0000
0.0000 0.0000 5.6280
Cs K Tl In
2 1 1 1
Direct
0.0000 0.5000 0.0000 Cs
0.5000 0.0000 0.0000 Cs
0.0000 0.0000 0.5000 K
0.5000 0.5000 0.0000 Tl
0.5000 0.5000 0.5000 In
```

2.
Material: LiTa3Fe
Method: DFT, PBE
State: relaxed

Results
E_form: 32.2 kcal/mol of atoms
DOS(E_F): 8.42 states/eV per cell
Excess energy over the best structure of this formula in the dataset: 0.571 eV/atom

```
LiTa3Fe
1.0
4.3219 0.0000 0.0000
0.0000 4.3219 0.0000
0.0000 0.0000 4.3219
Li Ta Fe
1 3 1
Direct
0.0000 0.0000 0.0000 Li
0.0000 0.0000 0.5000 Ta
0.0000 0.5000 0.0000 Ta
0.5000 0.0000 0.0000 Ta
0.5000 0.5000 0.5000 Fe
```

3.
Material: BSe2BrF
Method: DFT, PBE
State: relaxed

Results
DOS(E_F): 5.10 states/eV per cell
Formation energy without anion corrections: 1052 meV per atom
Excess energy over the best structure of this formula in the dataset: 0.505 eV/atom

```
BSe2BrF
1.0
4.2817 0.0000 0.0000
0.0000 4.2817 0.0000
0.0000 0.0000 6.8563
B Se Br F
1 2 1 1
Direct
0.0000 0.0000 0.0000 B
0.0000 0.5000 0.5000 Se
0.5000 0.0000 0.5000 Se
0.5000 0.5000 0.0000 Br
0.5000 0.5000 0.5000 F
```

4.
Material: Li12ReN7
Method: DFT, PBE
State: relaxed

Results
DOS(E_F): 8.60 states/eV per cell
Formation energy without anion corrections: -213 meV per atom

```
Li12ReN7
1.0
5.0700 2.9272 2.5750
-5.0700 2.9272 2.5750
0.0000 -5.8543 2.5750
Li Re N
12 1 7
Direct
0.0631 0.1527 0.3314 Li
0.1527 0.3314 0.0631 Li
0.1614 0.5578 0.6889 Li
0.3111 0.8386 0.4422 Li
0.3314 0.0631 0.1527 Li
0.4422 0.3111 0.8386 Li
0.5578 0.6889 0.1614 Li
0.6686 0.9369 0.8473 Li
0.6889 0.1614 0.5578 Li
0.8386 0.4422 0.3111 Li
0.8473 0.6686 0.9369 Li
0.9369 0.8473 0.6686 Li
0.5000 0.5000 0.5000 Re
0.0000 0.0000 0.0000 N
0.1742 0.5010 0.3726 N
0.3726 0.1742 0.5010 N
0.4990 0.6274 0.8258 N
0.5010 0.3726 0.1742 N
0.6274 0.8258 0.4990 N
0.8258 0.4990 0.6274 N
```